## PrNd3Al (GGA-PBE)

Data for an optimized crystal structure of PrNd3Al. Values from VASP.

The structure in Quantum ESPRESSO input format:
```
&SYSTEM
  ibrav = 0, nat = 10, ntyp = 3
/
ATOMIC_SPECIES
Pr 140.91 Pr.upf
Nd 144.24 Nd.upf
Al 26.98 Al.upf
CELL_PARAMETERS angstrom
10.6061 0.0000 0.0000
0.0000 4.8666 3.2042
0.0000 -4.8666 3.2042
ATOMIC_POSITIONS angstrom
Pr 2.6515 -3.5368 3.2042
Pr 7.9546 3.5368 3.2042
Nd 0.7206 3.0297 2.3118
Nd 2.6515 -0.0300 3.2388
Nd 4.5824 3.0297 2.3118
Nd 6.0237 -3.0297 2.3118
Nd 7.9546 0.0300 3.2388
Nd 9.8855 -3.0297 2.3118
Al 0.0000 0.0000 1.6484
Al 5.3030 0.0000 1.6484
```

Summary:
DFT total energy = -45.49 eV/cell
Crystal system = orthorhombic
Symmetry = No. 40
Energy relative to the elements = 0.0160 eV per atom

---

## Pr2NdAl (GGA-PBE)

Data for an optimized crystal structure of Pr2NdAl. Values from VASP.

The structure in Quantum ESPRESSO input format:
```
&SYSTEM
  ibrav = 0, nat = 4, ntyp = 3
/
ATOMIC_SPECIES
Pr 140.91 Pr.upf
Nd 144.24 Nd.upf
Al 26.98 Al.upf
CELL_PARAMETERS angstrom
4.9217 0.0000 0.0000
0.0000 4.9217 0.0000
0.0000 0.0000 4.9248
ATOMIC_POSITIONS angstrom
Pr 0.0000 2.4609 0.0000
Pr 2.4609 0.0000 0.0000
Nd 0.0000 0.0000 2.4624
Al 2.4609 2.4609 2.4624
```

Summary:
DFT total energy = -18.73 eV/cell
Crystal system = tetragonal
Symmetry = No. 123
Energy relative to the elements = -0.1642 eV per atom

---

## PrNd12Al3 (GGA-PBE)

Data for an optimized crystal structure of PrNd12Al3. Values from VASP.

The structure in Quantum ESPRESSO input format:
```
&SYSTEM
  ibrav = 0, nat = 16, ntyp = 3
/
ATOMIC_SPECIES
Pr 140.91 Pr.upf
Nd 144.24 Nd.upf
Al 26.98 Al.upf
CELL_PARAMETERS angstrom
4.9431 0.0000 0.0000
0.0000 4.9431 0.0000
0.0000 0.0000 20.2635
ATOMIC_POSITIONS angstrom
Pr 0.0000 0.0000 0.0000
Nd 0.0000 2.4716 2.7833
Nd 0.0000 2.4716 7.6877
Nd 0.0000 2.4716 12.5758
Nd 0.0000 2.4716 17.4802
Nd 2.4716 0.0000 2.7833
Nd 2.4716 0.0000 7.6877
Nd 2.4716 0.0000 12.5758
Nd 2.4716 0.0000 17.4802
Nd 2.4716 2.4716 0.0000
Nd 2.4716 2.4716 5.2664
Nd 2.4716 2.4716 10.1317
Nd 2.4716 2.4716 14.9971
Al 0.0000 0.0000 5.2361
Al 0.0000 0.0000 10.1317
Al 0.0000 0.0000 15.0273
```

Summary:
DFT total energy = -74.95 eV/cell
Crystal system = tetragonal
Symmetry = No. 123
Energy relative to the elements = -0.1083 eV per atom

---

## PrNd3Al (GGA-PBE)

Data for an optimized crystal structure of PrNd3Al. Values from VASP.

The structure in Quantum ESPRESSO input format:
```
&SYSTEM
  ibrav = 0, nat = 10, ntyp = 3
/
ATOMIC_SPECIES
Pr 140.91 Pr.upf
Nd 144.24 Nd.upf
Al 26.98 Al.upf
CELL_PARAMETERS angstrom
3.8073 0.0000 0.0000
0.0037 8.7717 0.0000
1.9018 2.3118 9.5696
ATOMIC_POSITIONS angstrom
Pr 0.9582 1.0761 2.9572
Pr 4.7547 10.0074 6.6124
Nd 2.8543 3.6793 8.5644
Nd 2.8533 7.4310 8.3281
Nd 2.8523 3.7552 4.7627
Nd 2.8606 7.3283 4.8069
Nd 2.8596 3.6525 1.2415
Nd 2.8585 7.4042 1.0051
Al 0.9543 5.6434 2.8553
Al 4.7585 5.4401 6.7142
```

Summary:
DFT total energy = -46.80 eV/cell
Crystal system = triclinic
Symmetry = No. 2
Energy relative to the elements = -0.1144 eV per atom

---

## Pr6NdAl (GGA-PBE)

Data for an optimized crystal structure of Pr6NdAl. Values from VASP.

The structure in Quantum ESPRESSO input format:
```
&SYSTEM
  ibrav = 0, nat = 8, ntyp = 3
/
ATOMIC_SPECIES
Pr 140.91 Pr.upf
Nd 144.24 Nd.upf
Al 26.98 Al.upf
CELL_PARAMETERS angstrom
4.7902 2.7656 3.4428
-4.7902 2.7656 3.4428
0.0000 -5.5312 3.4428
ATOMIC_POSITIONS angstrom
Pr -2.5069 -2.5586 4.7079
Pr -3.4693 0.8917 5.6206
Pr 0.9624 -3.4503 5.6206
Pr -0.9624 3.4503 4.7079
Pr 3.4693 -0.8917 4.7079
Pr 2.5069 2.5586 5.6206
Nd 0.0000 0.0000 5.1642
Al 0.0000 0.0000 0.0000
```

Summary:
DFT total energy = -36.96 eV/cell
Crystal system = trigonal
Symmetry = No. 148
Energy relative to the elements = 0.0285 eV per atom

---

## PrNd3Al2 (GGA-PBE)

Data for an optimized crystal structure of PrNd3Al2. Values from VASP.

The structure in Quantum ESPRESSO input format:
```
&SYSTEM
  ibrav = 0, nat = 12, ntyp = 3
/
ATOMIC_SPECIES
Pr 140.91 Pr.upf
Nd 144.24 Nd.upf
Al 26.98 Al.upf
CELL_PARAMETERS angstrom
5.2781 0.0000 0.0000
0.0000 9.8927 0.0000
0.0000 0.0000 6.7577
ATOMIC_POSITIONS angstrom
Pr 0.0000 0.4657 0.0000
Pr 0.0000 9.4270 3.3788
Nd 0.0000 3.2511 4.4833
Nd 0.0000 6.6415 1.1044
Nd 2.6391 1.7128 1.9390
Nd 2.6391 4.4742 6.4252
Nd 2.6391 5.4185 3.0464
Nd 2.6391 8.1799 5.3179
Al 0.0000 3.4816 1.2386
Al 0.0000 6.4111 4.6175
Al 2.6391 1.4755 5.1787
Al 2.6391 8.4172 1.7998
```

Summary:
DFT total energy = -56.02 eV/cell
Crystal system = orthorhombic
Symmetry = No. 26
Energy relative to the elements = -0.2399 eV per atom

---

## Pr2NdAl (GGA-PBE)

Data for an optimized crystal structure of Pr2NdAl. Values from VASP.

The structure in Quantum ESPRESSO input format:
```
&SYSTEM
  ibrav = 0, nat = 4, ntyp = 3
/
ATOMIC_SPECIES
Pr 140.91 Pr.upf
Nd 144.24 Nd.upf
Al 26.98 Al.upf
CELL_PARAMETERS angstrom
3.6326 0.0000 0.0000
0.0000 3.6326 0.0000
0.0000 0.0000 9.4491
ATOMIC_POSITIONS angstrom
Pr 0.0000 0.0000 2.0055
Pr 0.0000 0.0000 7.4436
Nd 1.8163 1.8163 4.7245
Al 1.8163 1.8163 0.0000
```

Summary:
DFT total energy = -18.65 eV/cell
Crystal system = tetragonal
Symmetry = No. 123
Energy relative to the elements = -0.1446 eV per atom

---

## PrNd2Al9 (GGA-PBE)

Data for an optimized crystal structure of PrNd2Al9. Values from VASP.

The structure in Quantum ESPRESSO input format:
```
&SYSTEM
  ibrav = 0, nat = 12, ntyp = 3
/
ATOMIC_SPECIES
Pr 140.91 Pr.upf
Nd 144.24 Nd.upf
Al 26.98 Al.upf
CELL_PARAMETERS angstrom
2.8453 1.6427 8.8578
-2.8453 1.6427 8.8578
0.0000 -3.2854 8.8578
ATOMIC_POSITIONS angstrom
Pr 0.0000 0.0000 0.0000
Nd 0.0000 0.0000 3.7589
Nd 0.0000 0.0000 22.8145
Al -1.4544 -0.8397 11.0535
Al 0.0000 0.0000 8.9134
Al 0.0000 -1.6793 15.5199
Al -1.4544 0.8397 15.5199
Al 0.0000 0.0000 13.2867
Al 1.4544 -0.8397 11.0535
Al 0.0000 1.6793 11.0535
Al 0.0000 0.0000 17.6600
Al 1.4544 0.8397 15.5199
```

Summary:
DFT total energy = -52.62 eV/cell
Crystal system = trigonal
Symmetry = No. 166
Energy relative to the elements = -0.3850 eV per atom

---

## PrNd6Al (GGA-PBE)

Data for an optimized crystal structure of PrNd6Al. Values from VASP.

The structure in Quantum ESPRESSO input format:
```
&SYSTEM
  ibrav = 0, nat = 8, ntyp = 3
/
ATOMIC_SPECIES
Pr 140.91 Pr.upf
Nd 144.24 Nd.upf
Al 26.98 Al.upf
CELL_PARAMETERS angstrom
5.0056 0.0000 0.0000
0.0000 5.0056 0.0000
0.0000 0.0000 10.3739
ATOMIC_POSITIONS angstrom
Pr 0.0000 0.0000 0.0000
Nd 0.0000 2.5028 2.7463
Nd 0.0000 2.5028 7.6275
Nd 2.5028 0.0000 2.7463
Nd 2.5028 0.0000 7.6275
Nd 2.5028 2.5028 0.0000
Nd 2.5028 2.5028 5.1869
Al 0.0000 0.0000 5.1869
```

Summary:
DFT total energy = -37.56 eV/cell
Crystal system = tetragonal
Symmetry = No. 123
Energy relative to the elements = -0.0541 eV per atom

---

## PrNd5Al4 (GGA-PBE)

Data for an optimized crystal structure of PrNd5Al4. Values from VASP.

The structure in Quantum ESPRESSO input format:
```
&SYSTEM
  ibrav = 0, nat = 10, ntyp = 3
/
ATOMIC_SPECIES
Pr 140.91 Pr.upf
Nd 144.24 Nd.upf
Al 26.98 Al.upf
CELL_PARAMETERS angstrom
3.6983 0.0000 0.0000
0.0000 3.6983 0.0000
0.0000 0.0000 20.4630
ATOMIC_POSITIONS angstrom
Pr 0.0000 0.0000 0.0000
Nd 1.8492 1.8492 2.6837
Nd 1.8492 1.8492 6.4493
Nd 1.8492 1.8492 10.2315
Nd 1.8492 1.8492 14.0137
Nd 1.8492 1.8492 17.7793
Al 0.0000 0.0000 4.5311
Al 0.0000 0.0000 8.3361
Al 0.0000 0.0000 12.1269
Al 0.0000 0.0000 15.9319
```

Summary:
DFT total energy = -46.26 eV/cell
Crystal system = tetragonal
Symmetry = No. 123
Energy relative to the elements = -0.2672 eV per atom

---

## Pr8Nd2Al (GGA-PBE)

Data for an optimized crystal structure of Pr8Nd2Al. Values from VASP.

The structure in Quantum ESPRESSO input format:
```
&SYSTEM
  ibrav = 0, nat = 11, ntyp = 3
/
ATOMIC_SPECIES
Pr 140.91 Pr.upf
Nd 144.24 Nd.upf
Al 26.98 Al.upf
CELL_PARAMETERS angstrom
9.0324 -2.7717 0.0000
9.0324 2.7717 0.0000
-3.0150 0.0000 7.5888
ATOMIC_POSITIONS angstrom
Pr -0.4997 0.0000 2.0909
Pr 0.9981 0.0000 5.4921
Pr 4.3530 0.0000 4.3954
Pr 7.0503 0.0000 0.5997
Pr 7.9996 0.0000 6.9891
Pr 10.6969 0.0000 3.1934
Pr 14.0518 0.0000 2.0966
Pr 15.5496 0.0000 5.4979
Nd 2.9666 0.0000 1.1776
Nd 12.0833 0.0000 6.4112
Al 7.5249 0.0000 3.7944
```

Summary:
DFT total energy = -51.17 eV/cell
Crystal system = monoclinic
Symmetry = No. 12
Energy relative to the elements = 0.0316 eV per atom

---

## PrNd9Al2 (GGA-PBE)

Data for an optimized crystal structure of PrNd9Al2. Values from VASP.

The structure in Quantum ESPRESSO input format:
```
&SYSTEM
  ibrav = 0, nat = 12, ntyp = 3
/
ATOMIC_SPECIES
Pr 140.91 Pr.upf
Nd 144.24 Nd.upf
Al 26.98 Al.upf
CELL_PARAMETERS angstrom
4.9641 0.0000 0.0000
0.0000 4.9641 0.0000
0.0000 0.0000 15.3192
ATOMIC_POSITIONS angstrom
Pr 0.0000 0.0000 0.0000
Nd 0.0000 2.4820 2.7653
Nd 0.0000 2.4820 7.6596
Nd 0.0000 2.4820 12.5539
Nd 2.4820 0.0000 2.7653
Nd 2.4820 0.0000 7.6596
Nd 2.4820 0.0000 12.5539
Nd 2.4820 2.4820 0.0000
Nd 2.4820 2.4820 5.2501
Nd 2.4820 2.4820 10.0691
Al 0.0000 0.0000 5.2091
Al 0.0000 0.0000 10.1101
```

Summary:
DFT total energy = -56.28 eV/cell
Crystal system = tetragonal
Symmetry = No. 123
Energy relative to the elements = -0.0917 eV per atom